Entry 1:
This record from the Alexandria database describes a relaxed Tl2CuW crystal. The functional is PBE.

Values from the calculation:
Energy above the most stable polymorph in this dataset in meV/atom: 289
Energy relative to the elements in eV/atom: 0.93
Total energy in eV/atom: -4.5136
Crystal system: orthorhombic
Symmetry: Pmmm, No. 47

Cell and atoms, written as extended XYZ:
```
4
Lattice="3.060 0.000 0.000 0.000 3.918 0.000 0.000 0.000 6.375" Properties=species:S:1:pos:R:3 pbc="T T T"
Tl 0.000 0.000 1.539
Tl 0.000 0.000 4.836
Cu 1.530 1.959 0.000
W 1.530 1.959 3.187
```


Entry 2:
This record from the Alexandria database describes a relaxed La2Sm2Dy crystal. The functional is PBE.

Values from the calculation:
Energy above the most stable polymorph in this dataset in meV/atom: 0
Energy relative to the elements in eV/atom: 0.12
Total energy in eV/atom: -4.6588
Crystal system: orthorhombic
Symmetry: Cmc2_1, No. 36

Cell and atoms, written as extended XYZ:
```
10
Lattice="1.929 -6.822 0.000 1.929 6.822 0.000 0.000 0.000 13.497" Properties=species:S:1:pos:R:3 pbc="T T T"
La 1.929 6.801 6.748
La 1.929 3.267 8.139
La 1.929 -3.267 1.391
La 1.929 -6.801 0.000
Sm 1.929 5.483 3.400
Sm 1.929 3.247 12.116
Sm 1.929 -3.247 5.368
Sm 1.929 -5.483 10.148
Dy 1.929 1.393 3.419
Dy 1.929 -1.393 10.168
```


Entry 3:
This record from the Alexandria database describes a relaxed CaCd4Hg crystal. The functional is PBE.

Values from the calculation:
Energy above the most stable polymorph in this dataset in meV/atom: 58
Energy relative to the elements in eV/atom: -0.14
Total energy in eV/atom: -1.1344
Crystal system: cubic
Symmetry: F-43m, No. 216

Cell and atoms, written as extended XYZ:
```
6
Lattice="0.000 4.227 4.227 4.227 0.000 4.227 4.227 4.227 0.000" Properties=species:S:1:pos:R:3 pbc="T T T"
Ca 0.000 0.000 0.000
Cd 5.285 3.169 3.169
Cd 3.169 5.285 3.169
Cd 3.169 3.169 5.285
Cd 5.285 5.285 5.285
Hg 2.113 2.113 2.113
```


Entry 4:
This record from the Alexandria database describes a relaxed EuSi2Os crystal. The functional is PBE.

Values from the calculation:
Total energy in eV/atom: -8.5957
Crystal system: trigonal
Symmetry: R-3m, No. 166
E_form (uncorrected) in eV/atom: -0.508

Cell and atoms, written as extended XYZ:
```
4
Lattice="2.052 1.185 5.207 -2.052 1.185 5.207 0.000 -2.370 5.207" Properties=species:S:1:pos:R:3 pbc="T T T"
Eu 0.000 0.000 0.000
Si 0.000 0.000 3.244
Si 0.000 0.000 12.377
Os 0.000 0.000 7.811
```


Entry 5:
This record from the Alexandria database describes a relaxed LiLaRe2 crystal. The functional is PBE.

Values from the calculation:
Energy above the most stable polymorph in this dataset in meV/atom: 507
Energy relative to the elements in eV/atom: 0.74
Total energy in eV/atom: -7.1903
Crystal system: tetragonal
Symmetry: P4/mmm, No. 123

Cell and atoms, written as extended XYZ:
```
4
Lattice="2.702 0.000 0.000 0.000 2.702 0.000 0.000 0.000 9.718" Properties=species:S:1:pos:R:3 pbc="T T T"
Li 0.000 0.000 0.000
La 0.000 0.000 4.859
Re 1.351 1.351 2.156
Re 1.351 1.351 7.562
```


Entry 6:
This record from the Alexandria database describes a relaxed GaAgPtPb crystal. The functional is PBE.

Values from the calculation:
Energy above the most stable polymorph in this dataset in meV/atom: 22
Energy relative to the elements in eV/atom: -0.16
Total energy in eV/atom: -4.0685
Crystal system: monoclinic
Symmetry: Cm, No. 8

Cell and atoms, written as extended XYZ:
```
4
Lattice="3.760 -2.164 0.000 3.760 2.164 0.000 -2.543 0.000 5.246" Properties=species:S:1:pos:R:3 pbc="T T T"
Ga 0.000 0.000 0.000
Ag -0.026 0.000 3.957
Pt 5.016 0.000 0.259
Pb 2.501 0.000 2.146
```


Entry 7:
This record from the Alexandria database describes a relaxed AsOs2Au crystal. The functional is PBE.

Values from the calculation:
Energy relative to the elements in eV/atom: 0.58
Total energy in eV/atom: -7.0194
Crystal system: monoclinic
Symmetry: P2/m, No. 10

Cell and atoms, written as extended XYZ:
```
4
Lattice="2.988 0.000 0.000 0.000 3.967 0.000 -1.461 0.000 5.307" Properties=species:S:1:pos:R:3 pbc="T T T"
As 0.000 0.000 0.000
Os 0.751 1.984 1.212
Os 0.775 1.984 4.096
Au -0.731 0.000 2.654
```


Entry 8:
This record from the Alexandria database describes a relaxed Cr2CuSi crystal. The functional is PBE.

Values from the calculation:
Total energy in eV/atom: -7.0608
Crystal system: tetragonal
Symmetry: P4/mmm, No. 123
E_form (uncorrected) in eV/atom: 0.131

Cell and atoms, written as extended XYZ:
```
4
Lattice="4.085 0.000 0.000 0.000 4.085 0.000 0.000 0.000 2.900" Properties=species:S:1:pos:R:3 pbc="T T T"
Cr 0.000 2.042 0.000
Cr 2.042 0.000 0.000
Cu 0.000 0.000 1.450
Si 2.042 2.042 1.450
```


Entry 9:
This record from the Alexandria database describes a relaxed LiAcI3 crystal. The functional is PBE.

Values from the calculation:
Energy above the most stable polymorph in this dataset in meV/atom: 0
Total energy in eV/atom: -3.3749
Crystal system: monoclinic
Symmetry: P2_1/m, No. 11
E_form (uncorrected) in eV/atom: -1.240

Cell and atoms, written as extended XYZ:
```
10
Lattice="8.267 0.000 0.000 0.000 4.195 0.000 -4.004 0.000 10.408" Properties=species:S:1:pos:R:3 pbc="T T T"
Li 1.117 1.049 1.691
Li 3.146 3.146 8.718
Ac -1.180 3.146 6.837
Ac 5.443 1.049 3.571
I -2.906 1.049 9.021
I 0.368 1.049 4.606
I 3.183 3.146 1.869
I 1.080 1.049 8.539
I 3.895 3.146 5.803
I 7.169 3.146 1.388
```


Entry 10:
This record from the Alexandria database describes a relaxed Pm7Sn2As2 crystal. The functional is PBE.

Values from the calculation:
Energy relative to the elements in eV/atom: -0.64
Total energy in eV/atom: -5.2384
Crystal system: orthorhombic
Symmetry: Cmmm, No. 65

Cell and atoms, written as extended XYZ:
```
11
Lattice="4.331 -5.624 0.000 4.331 5.624 0.000 0.000 0.000 6.966" Properties=species:S:1:pos:R:3 pbc="T T T"
Pm 0.000 0.000 0.000
Pm 2.165 2.812 1.875
Pm 2.165 2.812 5.091
Pm 2.165 -2.812 1.875
Pm 2.165 -2.812 5.091
Pm 4.331 0.000 1.710
Pm 4.331 0.000 5.255
Sn 1.543 0.000 3.483
Sn 7.119 0.000 3.483
As 4.331 2.572 0.000
As 4.331 -2.572 0.000
```


Entry 11:
This record from the Alexandria database describes a relaxed Nd6Sm3Dy2Ho crystal. The functional is PBE.

Values from the calculation:
Energy relative to the elements in eV/atom: 0.01
Total energy in eV/atom: -4.6996
Crystal system: monoclinic
Symmetry: C2/m, No. 12

Cell and atoms, written as extended XYZ:
```
12
Lattice="3.152 -5.460 0.000 3.152 5.460 0.000 -2.099 0.000 11.787" Properties=species:S:1:pos:R:3 pbc="T T T"
Nd -0.001 1.819 8.872
Nd 1.055 0.000 2.917
Nd -0.001 -1.819 8.872
Nd 4.207 1.819 2.915
Nd 3.150 0.000 8.870
Nd 4.207 -1.819 2.915
Sm -1.049 0.000 5.893
Sm 2.103 1.820 5.893
Sm 2.103 -1.820 5.893
Dy 3.152 3.640 0.000
Dy 3.152 -3.640 0.000
Ho 3.152 0.000 0.000
```


Entry 12:
This record from the Alexandria database describes a relaxed Mn2NiP crystal. The functional is PBE.

Values from the calculation:
Energy relative to the elements in eV/atom: -0.14
Total energy in eV/atom: -7.5181
Crystal system: cubic
Symmetry: F-43m, No. 216

Cell and atoms, written as extended XYZ:
```
4
Lattice="0.000 2.818 2.818 2.818 0.000 2.818 2.818 2.818 0.000" Properties=species:S:1:pos:R:3 pbc="T T T"
Mn 0.000 0.000 0.000
Mn 1.409 1.409 1.409
Ni 2.818 2.818 2.818
P 4.226 4.226 4.226
```


| no. | volume (Å³ per cell) |
| --- | --- |
| 1 | 76.4 |
| 2 | 355.3 |
| 3 | 151.0 |
| 4 | 76.0 |
| 5 | 70.9 |
| 6 | 85.4 |
| 7 | 62.9 |
| 8 | 48.4 |
| 9 | 360.9 |
| 10 | 339.3 |
| 11 | 405.7 |
| 12 | 44.7 |